Record 1
This record from Alexandria describes a geometry-optimized AlZn2Sb structure. The functional is PBE-GGA.

## Properties
ΔE_f (raw) = 0.181 eV per atom
Magnetic moment = 0.0 μB per cell
Excess energy over the best structure of this formula in the dataset = 5.80 kJ/mol of atoms

Lattice parameters (Å, degrees): 5.166 5.166 5.166 134.23 125.86 73.54
Element x y z (fractional)
Sb 0.249 0.749 0.500
Zn 0.987 0.987 0.000
Zn 0.752 0.252 0.500
Al 0.511 0.511 0.000

=====

Record 2
This record from Alexandria describes a geometry-optimized AlZn2Sb structure. The functional is PBE-GGA.

## Properties
ΔE_f (raw) = 0.194 eV per atom
Magnetic moment = 0.0 μB per cell
Excess energy over the best structure of this formula in the dataset = 7.03 kJ/mol of atoms

Lattice parameters (Å, degrees): 3.495 3.495 6.362 90.00 90.00 90.00
Element x y z (fractional)
Sb 0.500 0.500 0.750
Zn 0.000 0.000 0.036
Zn 0.000 0.000 0.464
Al 0.500 0.500 0.250

=====

Record 3
This record from Alexandria describes a geometry-optimized AlZn2Sb structure. The functional is PBE-GGA.

## Properties
ΔE_f (raw) = 0.182 eV per atom
Magnetic moment = 0.0 μB per cell
Excess energy over the best structure of this formula in the dataset = 5.87 kJ/mol of atoms

Lattice parameters (Å, degrees): 4.052 4.667 4.155 90.00 90.00 90.00
Element x y z (fractional)
Sb 0.000 0.500 0.500
Zn 0.000 0.000 0.000
Zn 0.500 0.500 0.000
Al 0.500 0.000 0.500